This record from Alexandria via LeMat-Bulk describes NaAcNdGa after structural relaxation. The functional is PBE.

Computed properties:
* energy relative to the elements: -115 meV per atom
* uncorrected energy: -0.1257 Ha/atom

a = 7.8580 Å, b = 7.8580 Å, c = 7.8580 Å
α = 90.00°, β = 90.00°, γ = 90.00°
Space group F-43m (No. 216)
Symmetry-distinct sites (fractional):
Na 0.0000 0.0000 0.0000 [4 per cell]
Ac 0.2500 0.2500 0.7500 [4 per cell]
Nd 0.2500 0.2500 0.2500 [4 per cell]
Ga 0.0000 0.0000 0.5000 [4 per cell]